Here is crystalline Mg2Cr3MoS8 at its relaxed geometry from the Alexandria database. Energies are from PBE-GGA.

## Properties
N(E_F): 0.60 states/eV/cell
total magnetic moment: 12.0 μB/f.u.
ΔE_f (raw): -0.8351 eV/atom

a b c (Å): 7.303 7.303 7.303
angles (deg): 59.52 59.52 59.52
Element x y z (fractional)
Mg: 0.126 0.126 0.126
Mg: 0.874 0.874 0.874
Cr: 0.000 0.500 0.500
Cr: 0.500 0.000 0.500
Cr: 0.500 0.500 0.000
Mo: 0.500 0.500 0.500
S: 0.259 0.259 0.713
S: 0.259 0.713 0.259
S: 0.264 0.264 0.264
S: 0.287 0.741 0.741
S: 0.713 0.259 0.259
S: 0.736 0.736 0.736
S: 0.741 0.287 0.741
S: 0.741 0.741 0.287